Entry 1:
Material: Sr2MgP
Method: DFT, SCAN
State: single point on PBEsol structure

```
data_Sr2MgP
_chemical_formula_sum 'Sr2 Mg1 P1'
_cell_length_a 3.892
_cell_length_b 3.892
_cell_length_c 7.556
_cell_angle_alpha 90.00
_cell_angle_beta 90.00
_cell_angle_gamma 90.00
_symmetry_space_group_name_H-M 'P 4/m m m'
_symmetry_Int_Tables_number 123
_symmetry_space_group_name_Hall '-P 4 2'
loop_
_atom_site_label
_atom_site_type_symbol
_atom_site_fract_x
_atom_site_fract_y
_atom_site_fract_z
Sr1 Sr 0.000 0.000 0.204
Mg1 Mg 0.500 0.500 0.500
P1 P 0.500 0.500 0.000
```

Summary:
ΔE_f in meV/atom: -606.2
Calculated total energy in eV for the cell shown: -62.35
Polymorph energy (0 for the lowest one) in meV/atom: 0

=====

Entry 2:
Material: MgTaP2
Method: DFT, SCAN
State: single point on PBEsol structure

```
data_MgTaP2
_chemical_formula_sum 'Mg2 Ta2 P4'
_cell_length_a 3.270
_cell_length_b 3.431
_cell_length_c 12.195
_cell_angle_alpha 90.00
_cell_angle_beta 90.00
_cell_angle_gamma 90.00
_symmetry_space_group_name_H-M 'I m m 2'
_symmetry_Int_Tables_number 44
loop_
_symmetry_equiv_pos_as_xyz
'x,y,z'
'-x,-y,z'
'-x,y,z'
'x,-y,z'
'x+1/2,y+1/2,z+1/2'
'-x+1/2,-y+1/2,z+1/2'
'-x+1/2,y+1/2,z+1/2'
'x+1/2,-y+1/2,z+1/2'
loop_
_atom_site_label
_atom_site_type_symbol
_atom_site_fract_x
_atom_site_fract_y
_atom_site_fract_z
Mg1 Mg 0.000 0.000 0.000
Ta1 Ta 0.000 0.500 0.244
P1 P 0.000 0.000 0.592
P2 P 0.000 0.500 0.822
```

Summary:
ΔE_f in meV/atom: -513.9
Calculated total energy in eV for the cell shown: -188.82

=====

Entry 3:
Material: Mg3TaP
Method: DFT, SCAN
State: single point on PBEsol structure

```
data_Mg3TaP
_chemical_formula_sum 'Mg3 Ta1 P1'
_cell_length_a 4.784
_cell_length_b 4.784
_cell_length_c 4.784
_cell_angle_alpha 90.00
_cell_angle_beta 90.00
_cell_angle_gamma 90.00
_symmetry_space_group_name_H-M 'P m -3 m'
_symmetry_Int_Tables_number 221
_symmetry_space_group_name_Hall '-P 4 2 3'
loop_
_atom_site_label
_atom_site_type_symbol
_atom_site_fract_x
_atom_site_fract_y
_atom_site_fract_z
Mg1 Mg 0.000 0.000 0.500
Ta1 Ta 0.500 0.500 0.500
P1 P 0.000 0.000 0.000
```

Summary:
ΔE_f in meV/atom: 701.5
Calculated total energy in eV for the cell shown: -88.40

=====

Entry 4:
Material: MgTc3P
Method: DFT, SCAN
State: single point on PBEsol structure

```
data_MgTc3P
_chemical_formula_sum 'Mg1 Tc3 P1'
_cell_length_a 4.351
_cell_length_b 4.351
_cell_length_c 4.351
_cell_angle_alpha 90.00
_cell_angle_beta 90.00
_cell_angle_gamma 90.00
_symmetry_space_group_name_H-M 'P m -3 m'
_symmetry_Int_Tables_number 221
_symmetry_space_group_name_Hall '-P 4 2 3'
loop_
_atom_site_label
_atom_site_type_symbol
_atom_site_fract_x
_atom_site_fract_y
_atom_site_fract_z
Mg1 Mg 0.000 0.000 0.000
Tc1 Tc 0.000 0.500 0.500
P1 P 0.500 0.500 0.500
```

Summary:
ΔE_f in meV/atom: 289.9
Calculated total energy in eV for the cell shown: -119.10

=====

Entry 5:
Material: MgTiTcP2
Method: DFT, SCAN
State: single point on PBEsol structure

```
data_MgTiTcP2
_chemical_formula_sum 'Mg1 Ti1 Tc1 P2'
_cell_length_a 4.615
_cell_length_b 4.615
_cell_length_c 4.523
_cell_angle_alpha 90.00
_cell_angle_beta 90.00
_cell_angle_gamma 90.00
_symmetry_space_group_name_H-M 'P 4/m m m'
_symmetry_Int_Tables_number 123
_symmetry_space_group_name_Hall '-P 4 2'
loop_
_atom_site_label
_atom_site_type_symbol
_atom_site_fract_x
_atom_site_fract_y
_atom_site_fract_z
Mg1 Mg 0.000 0.000 0.000
Ti1 Ti 0.500 0.500 0.500
Tc1 Tc 0.500 0.500 0.000
P1 P 0.000 0.500 0.500
```

Summary:
ΔE_f in meV/atom: 600.0
Calculated total energy in eV for the cell shown: -73.86

=====

Entry 6:
Material: MgTeP2
Method: DFT, SCAN
State: single point on PBEsol structure

```
data_MgTeP2
_chemical_formula_sum 'Mg1 Te1 P2'
_cell_length_a 4.690
_cell_length_b 3.824
_cell_length_c 5.003
_cell_angle_alpha 90.00
_cell_angle_beta 103.78
_cell_angle_gamma 90.00
_symmetry_space_group_name_H-M 'P 1 2/m 1'
_symmetry_Int_Tables_number 10
loop_
_symmetry_equiv_pos_as_xyz
'x,y,z'
'-x,-y,-z'
'-x,y,-z'
'x,-y,z'
loop_
_atom_site_label
_atom_site_type_symbol
_atom_site_fract_x
_atom_site_fract_y
_atom_site_fract_z
Mg1 Mg 0.000 0.000 0.000
Te1 Te 0.500 0.000 0.500
P1 P 0.313 0.500 0.821
```

Summary:
Calculated total energy in eV for the cell shown: -63.77
Polymorph energy (0 for the lowest one) in meV/atom: 19

=====

Entry 7:
Material: MgTeP2
Method: DFT, SCAN
State: single point on PBEsol structure

```
data_MgTeP2
_chemical_formula_sum 'Mg1 Te1 P2'
_cell_length_a 4.750
_cell_length_b 4.750
_cell_length_c 3.318
_cell_angle_alpha 90.00
_cell_angle_beta 90.00
_cell_angle_gamma 90.00
_symmetry_space_group_name_H-M 'P 4/m m m'
_symmetry_Int_Tables_number 123
_symmetry_space_group_name_Hall '-P 4 2'
loop_
_atom_site_label
_atom_site_type_symbol
_atom_site_fract_x
_atom_site_fract_y
_atom_site_fract_z
Mg1 Mg 0.000 0.000 0.000
Te1 Te 0.500 0.500 0.000
P1 P 0.000 0.500 0.500
```

Summary:
Calculated total energy in eV for the cell shown: -61.89
Polymorph energy (0 for the lowest one) in meV/atom: 489

=====

Entry 8:
Material: MgTeP2
Method: DFT, SCAN
State: single point on PBEsol structure

```
data_MgTeP2
_chemical_formula_sum 'Mg2 Te2 P4'
_cell_length_a 11.394
_cell_length_b 3.663
_cell_length_c 4.540
_cell_angle_alpha 90.00
_cell_angle_beta 111.34
_cell_angle_gamma 90.00
_symmetry_space_group_name_H-M 'C 1 2/m 1'
_symmetry_Int_Tables_number 12
loop_
_symmetry_equiv_pos_as_xyz
'x,y,z'
'-x,-y,-z'
'-x,y,-z'
'x,-y,z'
'x+1/2,y+1/2,z'
'-x+1/2,-y+1/2,-z'
'-x+1/2,y+1/2,-z'
'x+1/2,-y+1/2,z'
loop_
_atom_site_label
_atom_site_type_symbol
_atom_site_fract_x
_atom_site_fract_y
_atom_site_fract_z
Mg1 Mg 0.000 0.000 0.000
Te1 Te 0.000 0.500 0.500
P1 P 0.246 0.000 0.152
```

Summary:
Calculated total energy in eV for the cell shown: -127.69
Polymorph energy (0 for the lowest one) in meV/atom: 0